The following is a PBE calculation of Nd2Ho3Tm7 after structural relaxation, from the Alexandria database.

Its crystal system is monoclinic. The calculation puts the formation energy at 0.09 eV per atom. The energy above the most stable polymorph in this dataset is 0.000 eV/atom. For the raw total energy, the calculation gives -4.4612 eV/atom.

The structure belongs to space group P2/m (No. 10); the cell edges are 6.282, 3.490 and 17.291 Å and the angles 90.00°, 96.22° and 90.00°. Symmetry generates all atoms from Nd at (0.061, 0.000, 0.174), Ho at (0.451, 0.500, 0.843), Ho at (0.500, 0.000, 0.500), Tm at (0.000, 0.500, 0.500), Tm at (0.228, 0.000, 0.666), Tm at (0.256, 0.000, 0.999) and Tm at (0.275, 0.500, 0.338).